PBE-GGA KSr4Pb5, relaxed; total magnetic moment = 0.0 μB/f.u.; total DFT energy (no corrections) = -30.521 eV/cell; energy of formation from the pure elements = -415.5 meV per atom
1.0
-0.9182 -3.3956 -2.1229
3.4043 -1.8088 1.4208
-10.8952 -7.4470 16.6246
Pb Sr K
5 4 1
Direct
0.5000 0.5000 0.1081 Pb
0.5000 0.5000 0.5000 Pb
0.5000 0.5000 0.3004 Pb
0.5000 0.5000 0.6996 Pb
0.5000 0.5000 0.8919 Pb
0.0000 0.0000 0.5998 Sr
0.0000 0.0000 0.2017 Sr
0.0000 0.0000 0.4002 Sr
0.0000 0.0000 0.7983 Sr
0.0000 0.0000 0.0000 K

=====

PBE-GGA K2SrPb, relaxed; total magnetic moment = 0.0 μB/f.u.; total DFT energy (no corrections) = -7.514 eV/cell; energy of formation from the pure elements = 17.8 meV per atom
1.0
-3.9810 -0.5515 0.5347
1.1593 -3.5009 5.0203
-0.2586 5.9416 4.2031
K Sr Pb
2 1 1
Direct
0.0000 0.0000 0.4713 K
0.0000 0.0000 0.0287 K
0.5000 0.5000 0.7500 Sr
0.5000 0.5000 0.2500 Pb

=====

PBE-GGA K2SrPb, relaxed; total magnetic moment = 0.0 μB/f.u.; total DFT energy (no corrections) = -7.432 eV/cell; energy of formation from the pure elements = 38.2 meV per atom
1.0
-0.0108 5.2879 -4.5154
1.5341 -6.3190 -2.4633
-4.1860 -0.7004 -0.8102
Sr Pb K
1 1 2
Direct
0.0000 0.5000 0.5000 Sr
0.5000 0.0000 0.5000 Pb
0.0000 0.0000 0.0000 K
0.5000 0.5000 0.0000 K

=====

PBE-GGA KSr2Pb, relaxed; total magnetic moment = 0.0 μB/f.u.; total DFT energy (no corrections) = -8.710 eV/cell; energy of formation from the pure elements = -135.1 meV per atom
1.0
4.2269 0.0000 0.0000
0.0000 4.2269 0.0000
0.0000 0.0000 10.6056
Sr K Pb
2 1 1
Direct
0.5000 0.5000 0.2305 Sr
0.0000 0.0000 0.9421 Sr
0.0000 0.0000 0.5580 K
0.5000 0.5000 0.7694 Pb

=====

PBE-GGA K2SrPb, relaxed; total magnetic moment = 0.2 μB/f.u.; total DFT energy (no corrections) = -7.227 eV/cell; energy of formation from the pure elements = 89.6 meV per atom
1.0
13.7231 0.0039 0.0023
13.0966 4.0991 0.0023
13.0966 2.0036 3.5761
K Sr Pb
2 1 1
Direct
0.5135 0.5135 0.5135 K
0.9865 0.9865 0.9865 K
0.7500 0.7500 0.7500 Sr
0.2500 0.2500 0.2500 Pb

=====

PBE-GGA K2SrPb, relaxed; total magnetic moment = 0.0 μB/f.u.; total DFT energy (no corrections) = -8.265 eV/cell; energy of formation from the pure elements = -170.0 meV per atom
1.0
-2.8833 -9.4944 -1.2352
0.7854 -9.5164 -2.9670
2.0578 -2.8692 4.3960
K Pb Sr
2 1 1
Direct
0.4152 0.4152 0.5852 K
0.0848 0.0848 0.9148 K
0.7500 0.7500 0.7500 Pb
0.2500 0.2500 0.2500 Sr